# 1
Density functional theory data (PBE) for a geometry-optimized LiDy2MgPd4 structure.

Cell lengths 4.7445, 4.7445, 8.1875 Å; angles 73.16, 73.16, 60.00 degrees
Element x y z (fractional)
Dy1 0.7519 0.7519 0.7443
Pd1 0.3741 0.3741 0.8778
Pd2 0.6259 0.6259 0.1222
Pd3 0.1237 0.1237 0.6290
Dy2 0.2481 0.2481 0.2557
Li1 0.5000 0.5000 0.5000
Pd4 0.8763 0.8763 0.3710
Mg1 0.0000 0.0000 0.0000

## Properties
D(E_F) ... 2.99 states/eV/cell
ΔH_f (0 K) ... -0.750 eV per atom
Space group ... No. 166
Raw total energy ... -4.935 eV/atom

=====

# 2
Density functional theory data (PBE) for a geometry-optimized Li2ScAu3 structure.

Cell lengths 4.5644, 4.5644, 11.4128 Å; angles 90.00, 90.00, 120.00 degrees
Element x y z (fractional)
Li1 0.0000 0.0000 0.5000
Sc1 0.3333 0.6667 0.6727
Au1 0.3333 0.6667 0.9196
Au2 0.6667 0.3333 0.5776
Li2 0.3333 0.6667 0.1575
Au3 0.0000 0.0000 0.2349
Au4 0.6667 0.3333 0.0804
Li3 0.6667 0.3333 0.8425
Sc2 0.6667 0.3333 0.3273
Au5 0.0000 0.0000 0.7651
Li4 0.0000 0.0000 0.0000
Au6 0.3333 0.6667 0.4224

## Properties
D(E_F) ... 5.90 states/eV/cell
ΔH_f (0 K) ... -0.634 eV per atom
Space group ... No. 164
Raw total energy ... -3.966 eV/atom

=====

# 3
Density functional theory data (PBE) for a geometry-optimized Ho2SiNi4Ge3 structure.

Cell lengths 4.0351, 4.0351, 9.6315 Å; angles 90.00, 90.00, 90.00 degrees
Element x y z (fractional)
Ge1 0.0000 0.0000 0.5000
Si1 0.5000 0.5000 0.5000
Ho1 0.0000 0.5000 0.7492
Ni1 0.5000 0.5000 0.0000
Ni2 0.5000 0.0000 0.6235
Ge2 0.0000 0.5000 0.1324
Ni3 0.0000 0.0000 0.0000
Ge3 0.5000 0.0000 0.8676
Ho2 0.5000 0.0000 0.2508
Ni4 0.0000 0.5000 0.3765

## Properties
D(E_F) ... 6.39 states/eV/cell
Space group ... No. 115
Uncorrected formation energy ... -70 kJ per mole of atoms
Raw total energy ... -5.877 eV/atom

=====

# 4
Density functional theory data (PBE) for a geometry-optimized Cs4Cd5Au structure.

Cell lengths 7.3494, 8.7714, 8.7714 Å; angles 79.89, 65.23, 65.23 degrees
Element x y z (fractional)
Cd1 0.9704 0.8906 0.2515
Cs1 0.4855 0.7682 0.3712
Cd2 0.3559 0.0000 0.0000
Cs2 0.8567 0.6288 0.7682
Cs3 0.2537 0.3712 0.2318
Cd3 0.2219 0.7485 0.8906
Cd4 0.1125 0.1094 0.7485
Cd5 0.8610 0.2515 0.1094
Cs4 0.6249 0.2318 0.6288
Au1 0.7471 0.0000 0.0000

## Properties
D(E_F) ... 6.18 states/eV/cell
ΔH_f (0 K) ... -0.082 eV per atom
Space group ... No. 79
Raw total energy ... -1.208 eV/atom

=====

# 5
Density functional theory data (PBE) for a geometry-optimized LaAl2Tl structure.

Cell lengths 4.9839, 4.9839, 5.6890 Å; angles 70.95, 70.95, 51.72 degrees
Element x y z (fractional)
Al1 0.9865 0.9865 0.0888
Tl1 0.2500 0.2500 0.2500
Al2 0.5135 0.5135 0.4112
La1 0.7500 0.7500 0.7500

## Properties
D(E_F) ... 2.10 states/eV/cell
Energy above the lowest structure with this stoichiometry ... 137 meV/atom
ΔH_f (0 K) ... -0.131 eV per atom
Space group ... No. 12
Raw total energy ... -3.826 eV/atom

=====

# 6
Density functional theory data (PBE) for a geometry-optimized Sc2CdW structure.

Cell lengths 2.9822, 4.5315, 5.9938 Å; angles 90.00, 90.00, 90.00 degrees
Element x y z (fractional)
Sc1 0.0000 0.0000 0.9920
Sc2 0.5000 0.5000 0.2792
W1 0.0000 0.0000 0.4736
Cd1 0.5000 0.5000 0.7552

## Properties
D(E_F) ... 3.69 states/eV/cell
ΔH_f (0 K) ... 0.234 eV per atom
Space group ... No. 25
Raw total energy ... -6.399 eV/atom

=====

# 7
Density functional theory data (PBE) for a geometry-optimized ZrMnCr4 structure.

Cell lengths 4.8937, 4.8937, 4.8937 Å; angles 60.00, 60.00, 60.00 degrees
Last column: magnetic moment on the atom in μB.
Element x y z (fractional)
Zr1 0.0000 0.0000 0.0000  -0.08
Cr1 0.3746 0.3746 0.8763  -0.11
Cr2 0.3746 0.8763 0.3746  -0.11
Mn1 0.7500 0.7500 0.7500  2.83
Cr3 0.8763 0.3746 0.3746  -0.11
Cr4 0.3746 0.3746 0.3746  -0.11

## Properties
D(E_F) ... 5.70 states/eV/cell
ΔH_f (0 K) ... 0.126 eV per atom
Space group ... No. 216
Raw total energy ... -9.242 eV/atom

=====

# 8
Density functional theory data (PBE) for a geometry-optimized FeW4Se structure.

Cell lengths 5.3013, 5.3013, 5.3013 Å; angles 60.00, 60.00, 60.00 degrees
Last column: magnetic moment on the atom in μB.
Element x y z (fractional)
Fe1 0.7500 0.7500 0.7500  3.01
W1 0.8729 0.3757 0.3757  0.04
W2 0.3757 0.3757 0.3757  0.04
W3 0.3757 0.8729 0.3757  0.04
Se1 0.0000 0.0000 0.0000  0.04
W4 0.3757 0.3757 0.8729  0.04

## Properties
D(E_F) ... 5.36 states/eV/cell
Space group ... No. 216
Uncorrected formation energy ... 89 kJ per mole of atoms
Raw total energy ... -9.703 eV/atom

=====

# 9
Density functional theory data (PBE) for a geometry-optimized NaEuInSn structure.

Cell lengths 5.4419, 5.4419, 5.4419 Å; angles 60.00, 60.00, 60.00 degrees
Last column: magnetic moment on the atom in μB.
Element x y z (fractional)
Sn1 0.5000 0.5000 0.5000  -0.05
Eu1 0.2500 0.2500 0.2500  6.82
In1 0.0000 0.0000 0.0000  0.02
Na1 0.7500 0.7500 0.7500  0.00

## Properties
D(E_F) ... 1.00 states/eV/cell
ΔH_f (0 K) ... -0.373 eV per atom
Space group ... No. 216
Raw total energy ... -4.956 eV/atom

=====

# 10
Density functional theory data (PBE) for a geometry-optimized TiW2Se2S4 structure.

Cell lengths 3.2694, 3.2694, 21.3675 Å; angles 90.00, 90.00, 120.00 degrees
Element x y z (fractional)
S1 0.0000 0.0000 0.5826
S2 0.0000 0.0000 0.7272
S3 0.6667 0.3333 0.9048
Se1 0.6667 0.3333 0.2482
Se2 0.6667 0.3333 0.4060
W1 0.0000 0.0000 0.9771
W2 0.6667 0.3333 0.6549
Ti1 0.0000 0.0000 0.3271
S4 0.6667 0.3333 0.0494

## Properties
D(E_F) ... 2.01 states/eV/cell
Space group ... No. 156
Uncorrected formation energy ... -81 kJ per mole of atoms
Raw total energy ... -7.199 eV/atom

=====

# 11
Density functional theory data (PBE) for a geometry-optimized BaYCr3 structure.

Cell lengths 5.2982, 5.2982, 5.2982 Å; angles 90.00, 90.00, 90.00 degrees
Last column: magnetic moment on the atom in μB.
Element x y z (fractional)
Cr1 0.0000 0.0000 0.5000  3.27
Cr2 0.0000 0.5000 0.0000  3.50
Ba1 0.5000 0.5000 0.5000  -0.02
Cr3 0.5000 0.0000 0.0000  3.69
Y1 0.0000 0.0000 0.0000  -0.13

## Properties
D(E_F) ... 1.44 states/eV/cell
Energy above the lowest structure with this stoichiometry ... 0 meV/atom
ΔH_f (0 K) ... 1.400 eV per atom
Space group ... No. 221
Raw total energy ... -6.051 eV/atom

=====

# 12
Density functional theory data (PBE) for a geometry-optimized BeFe5 structure.

Cell lengths 6.1166, 6.1166, 2.8729 Å; angles 90.00, 90.00, 142.75 degrees
Last column: magnetic moment on the atom in μB.
Element x y z (fractional)
Fe1 0.1641 0.8359 0.0000  2.19
Fe2 0.6626 0.3374 0.5000  2.31
Be1 0.5000 0.5000 0.0000  -0.12
Fe3 0.0000 0.0000 0.5000  2.11
Fe4 0.8359 0.1641 0.0000  2.19
Fe5 0.3374 0.6626 0.5000  2.31

## Properties
D(E_F) ... 5.50 states/eV/cell
Energy above the lowest structure with this stoichiometry ... 0 meV/atom
ΔH_f (0 K) ... -0.023 eV per atom
Space group ... No. 65
Raw total energy ... -7.696 eV/atom

=====

# 13
Density functional theory data (PBE) for a geometry-optimized NaPt3 structure.

Cell lengths 4.5166, 4.5166, 4.5166 Å; angles 60.00, 60.00, 60.00 degrees
Element x y z (fractional)
Pt1 0.5000 0.5000 0.5000
Pt2 0.7500 0.7500 0.7500
Na1 0.0000 0.0000 0.0000
Pt3 0.2500 0.2500 0.2500

## Properties
D(E_F) ... 8.53 states/eV/cell
ΔH_f (0 K) ... 0.121 eV per atom
Space group ... No. 225
Raw total energy ... -4.739 eV/atom

=====

# 14
Density functional theory data (PBE) for a geometry-optimized P2HAuCl structure.

Cell lengths 3.5997, 3.5997, 7.5115 Å; angles 90.00, 90.00, 90.00 degrees
Element x y z (fractional)
P1 0.0000 0.5000 0.0000
P2 0.5000 0.0000 0.0000
Au1 0.5000 0.5000 0.5000
Cl1 0.0000 0.0000 0.5000
H1 0.0000 0.0000 0.0000

## Properties
D(E_F) ... 3.09 states/eV/cell
Energy above the lowest structure with this stoichiometry ... 0 meV/atom
Space group ... No. 123
Raw total energy ... -3.187 eV/atom

=====

# 15
Density functional theory data (PBE) for a geometry-optimized CrH3Pb structure.

Cell lengths 3.7693, 3.7693, 3.7693 Å; angles 90.00, 90.00, 90.00 degrees
Last column: magnetic moment on the atom in μB.
Element x y z (fractional)
H1 0.5000 0.0000 0.0000  -0.01
Pb1 0.5000 0.5000 0.5000  0.01
Cr1 0.0000 0.0000 0.0000  3.16
H2 0.0000 0.0000 0.5000  -0.03
H3 0.0000 0.5000 0.0000  -0.03

## Properties
D(E_F) ... 1.43 states/eV/cell
Energy above the lowest structure with this stoichiometry ... 0 meV/atom
Space group ... No. 221
Raw total energy ... -4.403 eV/atom

=====

# 16
Density functional theory data (PBE) for a geometry-optimized Li2HIrPb structure.

Cell lengths 4.1973, 4.1973, 3.7398 Å; angles 90.00, 90.00, 90.00 degrees
Element x y z (fractional)
Li1 0.0000 0.5000 0.0000
Ir1 0.0000 0.0000 0.5000
Li2 0.5000 0.0000 0.0000
Pb1 0.5000 0.5000 0.5000
H1 0.0000 0.0000 0.0000

## Properties
D(E_F) ... 1.79 states/eV/cell
Space group ... No. 123
Raw total energy ... -4.142 eV/atom